(1)
Entry from the Alexandria database: a geometry-optimized VOs2Ru2 structure (PBE-GGA).

Calculated values
Energy of formation (eV per atom): 0.27
Uncorrected energy (eV per atom): -9.759
Energy above the lowest structure with this stoichiometry (eV/f.u.): 1.21

```
data_VOs2Ru2
_chemical_formula_sum 'V2 Os4 Ru4'
_symmetry_space_group_name_H-M 'P 4/m b m'
_symmetry_Int_Tables_number 127
_symmetry_space_group_name_Hall '-P 4 2ab'
_cell_length_a 7.378
_cell_length_b 7.378
_cell_length_c 2.746
_cell_angle_alpha 90.00
_cell_angle_beta 90.00
_cell_angle_gamma 90.00
loop_
_atom_site_label
_atom_site_type_symbol
_atom_site_fract_x
_atom_site_fract_y
_atom_site_fract_z
_atom_site_occupancy
V1 V 0.000 0.000 0.000 1
Os1 Os 0.172 0.328 0.500 1
Ru1 Ru 0.124 0.624 0.000 1
```

(2)
Entry from the Alexandria database: a geometry-optimized CaAcYCd structure (PBE-GGA).

Calculated values
Energy of formation (eV per atom): -0.14
Uncorrected energy (eV per atom): -3.517
Energy above the lowest structure with this stoichiometry (eV/f.u.): 0.00

```
data_CaAcYCd
_chemical_formula_sum 'Ca1 Ac1 Y1 Cd1'
_symmetry_space_group_name_H-M 'P 4 m m'
_symmetry_Int_Tables_number 99
_symmetry_space_group_name_Hall 'P 4 -2'
_cell_length_a 3.774
_cell_length_b 3.774
_cell_length_c 9.626
_cell_angle_alpha 90.00
_cell_angle_beta 90.00
_cell_angle_gamma 90.00
loop_
_atom_site_label
_atom_site_type_symbol
_atom_site_fract_x
_atom_site_fract_y
_atom_site_fract_z
_atom_site_occupancy
Ca1 Ca 0.000 0.000 0.000 1
Ac1 Ac 0.500 0.500 0.321 1
Y1 Y 0.000 0.000 0.598 1
Cd1 Cd 0.500 0.500 0.789 1
```

(3)
Entry from the Alexandria database: a geometry-optimized TiSeBr2N structure (PBE-GGA).

Calculated values
Uncorrected energy (eV per atom): -4.225
Energy above the lowest structure with this stoichiometry (eV/f.u.): 0.00

```
data_TiSeBr2N
_chemical_formula_sum 'Ti1 Se1 Br2 N1'
_symmetry_space_group_name_H-M 'P 4/m m m'
_symmetry_Int_Tables_number 123
_symmetry_space_group_name_Hall '-P 4 2'
_cell_length_a 5.206
_cell_length_b 5.206
_cell_length_c 4.864
_cell_angle_alpha 90.00
_cell_angle_beta 90.00
_cell_angle_gamma 90.00
loop_
_atom_site_label
_atom_site_type_symbol
_atom_site_fract_x
_atom_site_fract_y
_atom_site_fract_z
_atom_site_occupancy
Ti1 Ti 0.000 0.000 0.000 1
Se1 Se 0.000 0.000 0.500 1
Br1 Br 0.000 0.500 0.000 1
N1 N 0.500 0.500 0.500 1
```

(4)
Entry from the Alexandria database: a geometry-optimized CuOsPb structure (PBE-GGA).

Calculated values
Energy of formation (eV per atom): 0.87
Uncorrected energy (eV per atom): -5.478
Energy above the lowest structure with this stoichiometry (eV/f.u.): 0.20

```
data_CuOsPb
_chemical_formula_sum 'Cu1 Os1 Pb1'
_symmetry_space_group_name_H-M 'P -6 m 2'
_symmetry_Int_Tables_number 187
_symmetry_space_group_name_Hall 'P -6 2'
_cell_length_a 4.3168
_cell_length_b 4.3168
_cell_length_c 3.2998
_cell_angle_alpha 90.00
_cell_angle_beta 90.00
_cell_angle_gamma 120.00
loop_
_atom_site_label
_atom_site_type_symbol
_atom_site_fract_x
_atom_site_fract_y
_atom_site_fract_z
_atom_site_occupancy
Cu1 Cu 0.0000 0.0000 0.0000 1
Os1 Os 0.6667 0.3333 0.0000 1
Pb1 Pb 0.3333 0.6667 0.5000 1
```